Compound: TbPrZn4
Source: Alexandria via LeMat-Bulk
Functional: PBE
Structure: relaxed

The formation energy from the elements comes out at -0.3485 eV per atom. For the energy above the lowest structure with this stoichiometry, the calculation gives 0 meV per atom.

The structure belongs to space group Immm (No. 71); the cell edges are 4.531, 7.254 and 7.841 Å and the angles 90.00°, 90.00° and 90.00°. Symmetry generates all atoms from Tb at (0.000, 0.000, 0.000), Pr at (0.000, 0.500, 0.000) and Zn at (0.000, 0.257, 0.334).